Compound: Tl2ReTc
Source: Alexandria via LeMat-Bulk
Functional: PBE
Structure: relaxed

Output
Its energy of formation from the pure elements is 1.204 eV per atom. Its energy above the most stable polymorph in this dataset is 794 meV/atom. As for the symmetry: Cmmm.

Cell lengths 5.1161, 5.1161, 3.0366 Å; angles 90.00, 90.00, 106.46 degrees
With the nearest neighbours (Å) after each atom.
Element x y z (fractional)
Tl 0.0000 0.0000 0.0000  4 Tc 2.97, 4 Re 2.97, 4 Tl 3.04-3.06
Tc 0.0000 0.5000 0.5000  8 Tl 2.97, 2 Tc 3.04, 2 Re 3.06
Tl 0.5000 0.5000 0.0000  4 Re 2.97, 4 Tc 2.97, 4 Tl 3.04-3.06
Re 0.5000 0.0000 0.5000  8 Tl 2.97, 2 Re 3.04, 2 Tc 3.06